# 1
VASP calculation (PBE-GGA) on crystalline RbSiMoCl2 at its relaxed geometry.

Properties
The value obtained for the total magnetization is 4.861 μB per formula unit. Its formation energy (no corrections) is 6.237 eV/f.u.

abc: 5.770 5.770 5.949
angles: 90.00 90.00 90.00
Space group P4/mmm (No. 123)
Unique sites:
1 Rb 0.000 0.000 0.000 x1
2 Si 0.000 0.000 0.500 x1
3 Mo 0.500 0.500 0.500 x1
4 Cl 0.000 0.500 0.000 x2

=====

# 2
VASP calculation (PBE-GGA) on crystalline AcNpBiTe at its relaxed geometry.

Properties
The value obtained for the total magnetization is 4.914 μB per formula unit. Its formation energy (no corrections) is -2.238 eV/f.u.

abc: 7.989 7.989 7.989
angles: 90.00 90.00 90.00
Space group F-43m (No. 216)
Unique sites:
1 Ac 0.000 0.000 0.000 x4
2 Np 0.000 0.000 0.500 x4
3 Bi 0.250 0.250 0.250 x4
4 Te 0.250 0.250 0.750 x4

=====

# 3
VASP calculation (PBE-GGA) on crystalline TiNbCu2 at its relaxed geometry.

Properties
The value obtained for the total magnetization is 0.000 μB per formula unit. For the formation energy, the calculation gives 0.0667 eV per atom. The energy relative to the lowest polymorph listed for this composition is 53 meV per atom.

abc: 6.210 6.210 6.210
angles: 90.00 90.00 90.00
Space group Fm-3m (No. 225)
Unique sites:
1 Ti 0.000 0.000 0.000 x4
2 Nb 0.000 0.000 0.500 x4
3 Cu 0.250 0.250 0.250 x8

=====

Look up the total magnetization of the third one.
0.000 μB per formula unit

=====

Look up the total magnetization of the first one.
4.861 μB per formula unit